1.
First-principles (GGA-PBE) data for a relaxed Sb3Br crystal, as listed in the Alexandria database.

Output
ΔE_f (raw) ... 0.044 eV per atom
DFT total energy ... -3.466 eV per atom

Structure (POSCAR):
```
Sb3Br
1.0
6.766 -0.271 0.295
-0.777 6.727 -0.295
-0.045 -5.964 3.219
Sb Br
3 1
Direct
0.073 0.331 0.742
0.410 0.669 0.742
0.491 0.500 0.991
0.859 0.000 0.859
```

=====

2.
First-principles (GGA-PBE) data for a relaxed SbBr3 crystal, as listed in the Alexandria database.

Output
ΔE_f (raw) ... -0.589 eV per atom
DFT total energy ... -2.874 eV per atom

Structure (POSCAR):
```
SbBr3
1.0
7.446 0.000 0.000
0.000 10.367 0.000
0.000 0.000 9.211
Br Sb
12 4
Direct
0.608 0.165 0.950
0.892 0.665 0.950
0.608 0.165 0.550
0.168 0.081 0.750
0.392 0.835 0.450
0.108 0.335 0.050
0.108 0.335 0.450
0.832 0.919 0.250
0.332 0.581 0.750
0.892 0.665 0.550
0.392 0.835 0.050
0.668 0.419 0.250
0.507 0.991 0.250
0.993 0.491 0.250
0.493 0.009 0.750
0.007 0.509 0.750
```

=====

3.
First-principles (GGA-PBE) data for a relaxed SbBr crystal, as listed in the Alexandria database.

Output
ΔE_f (raw) ... 0.196 eV per atom
DFT total energy ... -2.702 eV per atom

Structure (POSCAR):
```
SbBr
1.0
-1.702 4.087 -3.132
-3.285 -2.062 3.790
3.428 6.352 6.426
Sb Br
4 4
Direct
0.667 0.333 0.535
0.333 0.667 0.035
0.667 0.333 0.965
0.333 0.667 0.465
0.000 0.000 0.750
0.667 0.333 0.250
0.333 0.667 0.750
0.000 0.000 0.250
```

=====

4.
First-principles (GGA-PBE) data for a relaxed SbBr3 crystal, as listed in the Alexandria database.

Output
ΔE_f (raw) ... -0.018 eV per atom
DFT total energy ... -2.304 eV per atom

Structure (POSCAR):
```
SbBr3
1.0
2.357 0.000 9.453
-1.179 2.041 9.453
-1.179 -2.041 9.453
Br Sb
3 1
Direct
0.899 0.899 0.899
0.000 0.000 0.000
0.101 0.101 0.101
0.500 0.500 0.500
```

=====

5.
First-principles (GGA-PBE) data for a relaxed SbBr crystal, as listed in the Alexandria database.

Output
ΔE_f (raw) ... -0.119 eV per atom
DFT total energy ... -3.016 eV per atom

Structure (POSCAR):
```
SbBr
1.0
3.417 0.004 0.002
-1.718 5.613 0.015
0.004 1.035 3.257
Br Sb
1 1
Direct
0.858 0.467 0.221
0.617 0.990 0.462
```

=====

6.
First-principles (GGA-PBE) data for a relaxed Sb4Br crystal, as listed in the Alexandria database.

Output
ΔE_f (raw) ... 0.549 eV per atom
DFT total energy ... -3.084 eV per atom

Structure (POSCAR):
```
Sb4Br
1.0
2.840 0.100 5.221
0.457 5.323 -2.606
-5.735 -1.286 0.888
Sb Br
4 1
Direct
0.000 0.500 0.000
0.500 0.000 0.000
0.000 0.000 0.500
0.500 0.500 0.500
0.000 0.000 0.000
```

=====

7.
First-principles (GGA-PBE) data for a relaxed Sb5Br crystal, as listed in the Alexandria database.

Output
ΔE_f (raw) ... 0.165 eV per atom
DFT total energy ... -3.549 eV per atom

Structure (POSCAR):
```
Sb5Br
1.0
2.623 4.741 -3.585
-3.218 -5.343 -1.817
-4.421 2.596 0.197
Br Sb
1 5
Direct
0.500 0.500 0.000
0.188 0.812 0.000
0.812 0.188 0.000
0.000 0.000 0.500
0.339 0.661 0.500
0.661 0.339 0.500
```

=====

8.
First-principles (GGA-PBE) data for a relaxed Sb3Br crystal, as listed in the Alexandria database.

Output
ΔE_f (raw) ... 0.373 eV per atom
DFT total energy ... -3.137 eV per atom

Structure (POSCAR):
```
Sb3Br
1.0
4.775 0.000 0.000
0.000 4.775 0.000
0.000 0.000 4.775
Sb Br
3 1
Direct
0.000 0.500 0.500
0.500 0.000 0.500
0.500 0.500 0.000
0.000 0.000 0.000
```

=====

Among the records above, which one has the highest DFT total energy?
number 4

=====

Repeat the first record exactly.
First-principles (GGA-PBE) data for a relaxed Sb3Br crystal, as listed in the Alexandria database.

Output
ΔE_f (raw) ... 0.044 eV per atom
DFT total energy ... -3.466 eV per atom

Structure (POSCAR):
```
Sb3Br
1.0
6.766 -0.271 0.295
-0.777 6.727 -0.295
-0.045 -5.964 3.219
Sb Br
3 1
Direct
0.073 0.331 0.742
0.410 0.669 0.742
0.491 0.500 0.991
0.859 0.000 0.859
```

=====

Among the records above, which one has the highest ΔE_f (raw)?
Sb4Br

=====

Among the records above, which one has the lowest ΔE_f (raw)?
number 2